Computed, not measured: crystalline LiSi2Tc at its relaxed geometry at the PBE-GGA level of DFT.

Values from the calculation:
- ΔE_f (raw) (meV/atom) = -262
- total energy (eV/atom) = -6.04
- D(E_F) (states/eV/f.u.) = 0.85
- energy above the most stable polymorph in this dataset (kJ/mol of atoms) = 3.6

Cell: 3.239 3.239 5.002 Å, 90.00 90.00 90.00°
Fractional coordinates of all 4 atoms:
Li: 0.000 0.000 0.000
Si: 0.000 0.000 0.511
Si: 0.500 0.500 0.228
Tc: 0.500 0.500 0.721